# PBE NaTl2SiTe4, relaxed
data_NaTl2SiTe4
_chemical_formula_sum 'Na4 Tl8 Si4 Te16'
_cell_length_a 8.119
_cell_length_b 9.629
_cell_length_c 12.426
_cell_angle_alpha 90.00
_cell_angle_beta 90.00
_cell_angle_gamma 90.00
_space_group_name_H-M_alt 'I m m a'
_space_group_IT_number 74
_space_group_name_Hall '-I 2b 2'
loop_
_atom_site_label
_atom_site_fract_x
_atom_site_fract_y
_atom_site_fract_z
Na1 0.000 0.000 0.000
Tl1 0.000 0.000 0.500
Tl2 0.250 0.250 0.250
Si1 0.250 0.250 0.750
Te1 0.000 0.045 0.753
Te2 0.240 0.250 0.977
# VASP energy = -3.182 eV per atom